Entry 1:
# PBE-GGA Al4Co3, relaxed
data_Al4Co3
_cell_length_a 4.0397
_cell_length_b 4.0397
_cell_length_c 19.3419
_cell_angle_alpha 90.00
_cell_angle_beta 90.00
_cell_angle_gamma 120.00
_space_group_name_H-M_alt 'R -3 m'
_space_group_IT_number 166
_space_group_name_Hall '-R 3 2"'
loop_
_atom_site_label
_atom_site_type_symbol
_atom_site_fract_x
_atom_site_fract_y
_atom_site_fract_z
Al1 Al 0.0000 0.0000 0.1188
Al2 Al 0.0000 0.0000 0.3714
Co1 Co 0.0000 0.0000 0.2453
Co2 Co 0.0000 0.0000 0.5000
# offset from the most stable computed form = 0 meV per atom
# DFT total energy = -5.679 eV per atom
# crystal system = trigonal
# mass density = 5.2 Mg/m³
# energy of formation = -0.495 eV per atom

=====

Entry 2:
# PBE-GGA AlCo5, relaxed
data_AlCo5
_cell_length_a 3.5574
_cell_length_b 10.6266
_cell_length_c 3.5641
_cell_angle_alpha 90.00
_cell_angle_beta 90.00
_cell_angle_gamma 90.00
_space_group_name_H-M_alt 'C m m m'
_space_group_IT_number 65
_space_group_name_Hall '-C 2 2'
loop_
_atom_site_label
_atom_site_type_symbol
_atom_site_fract_x
_atom_site_fract_y
_atom_site_fract_z
Al1 Al 0.0000 0.0000 0.0000
Co1 Co 0.0000 0.1708 0.5000
Co2 Co 0.0000 0.3272 0.0000
Co3 Co 0.0000 0.5000 0.5000
# offset from the most stable computed form = 1 meV per atom
# DFT total energy = -6.674 eV per atom
# crystal system = orthorhombic
# mass density = 7.9 Mg/m³
# energy of formation = -0.128 eV per atom

=====

Entry 3:
# PBE-GGA Al13Co4, relaxed
data_Al13Co4
_cell_length_a 15.1189
_cell_length_b 8.2085
_cell_length_c 12.4073
_cell_angle_alpha 90.00
_cell_angle_beta 107.75
_cell_angle_gamma 90.00
_space_group_name_H-M_alt 'C 1 2/m 1'
_space_group_IT_number 12
loop_
_space_group_symop_operation_xyz
'x,y,z'
'-x,-y,-z'
'-x,y,-z'
'x,-y,z'
'x+1/2,y+1/2,z'
'-x+1/2,-y+1/2,-z'
'-x+1/2,y+1/2,-z'
'x+1/2,-y+1/2,z'
loop_
_atom_site_label
_atom_site_type_symbol
_atom_site_fract_x
_atom_site_fract_y
_atom_site_fract_z
Al1 Al 0.0000 0.0000 0.0000
Al2 Al 0.0000 0.2501 0.5000
Al3 Al 0.0075 0.2317 0.1725
Al4 Al 0.0257 0.0000 0.6702
Al5 Al 0.0647 0.5000 0.6737
Al6 Al 0.0775 0.5000 0.0823
Al7 Al 0.0972 0.5000 0.2904
Al8 Al 0.1292 0.2136 0.3895
Al9 Al 0.1373 0.2194 0.0217
Al10 Al 0.1737 0.0000 0.2175
Al11 Al 0.1778 0.2790 0.8313
Al12 Al 0.1846 0.2782 0.6133
Al13 Al 0.2109 0.0000 0.7342
Al14 Al 0.2384 0.5000 0.0190
Al15 Al 0.2450 0.5000 0.4807
Co1 Co 0.0832 0.5000 0.8849
Co2 Co 0.0910 0.5000 0.4845
Co3 Co 0.1001 0.0000 0.5179
Co4 Co 0.1020 0.0000 0.8760
Co5 Co 0.1767 0.2767 0.2206
# DFT total energy = -4.924 eV per atom
# crystal system = monoclinic
# mass density = 4.0 Mg/m³
# energy of formation = -0.390 eV per atom

=====

Entry 4:
# PBE-GGA AlCo5, relaxed
data_AlCo5
_cell_length_a 4.3602
_cell_length_b 4.3602
_cell_length_c 4.0887
_cell_angle_alpha 90.00
_cell_angle_beta 90.00
_cell_angle_gamma 120.00
_space_group_name_H-M_alt 'P -6 2 m'
_space_group_IT_number 189
_space_group_name_Hall 'P -6 -2'
loop_
_atom_site_label
_atom_site_type_symbol
_atom_site_fract_x
_atom_site_fract_y
_atom_site_fract_z
Al1 Al 0.0000 0.0000 0.0000
Co1 Co 0.0000 0.6623 0.5000
Co2 Co 0.3333 0.6667 0.0000
# offset from the most stable computed form = 0 meV per atom
# DFT total energy = -6.675 eV per atom
# crystal system = hexagonal
# mass density = 7.9 Mg/m³
# energy of formation = -0.130 eV per atom

=====

Entry 5:
# PBE-GGA Al2Co3, relaxed
data_Al2Co3
_cell_length_a 8.3491
_cell_length_b 12.1932
_cell_length_c 4.6615
_cell_angle_alpha 90.00
_cell_angle_beta 90.00
_cell_angle_gamma 90.00
_space_group_name_H-M_alt 'F d d 2'
_space_group_IT_number 43
_space_group_name_Hall 'F 2 -2d'
loop_
_atom_site_label
_atom_site_type_symbol
_atom_site_fract_x
_atom_site_fract_y
_atom_site_fract_z
Al1 Al 0.0254 0.1968 0.0000
Co1 Co 0.0000 0.0000 0.0491
Co2 Co 0.0330 0.0984 0.5204
# offset from the most stable computed form = 0 meV per atom
# DFT total energy = -6.048 eV per atom
# crystal system = orthorhombic
# mass density = 6.5 Mg/m³
# energy of formation = -0.288 eV per atom

=====

Entry 6:
# PBE-GGA AlCo, relaxed
data_AlCo
_cell_length_a 2.7148
_cell_length_b 2.7148
_cell_length_c 7.7310
_cell_angle_alpha 90.00
_cell_angle_beta 90.00
_cell_angle_gamma 120.00
_space_group_name_H-M_alt 'P 63/m m c'
_space_group_IT_number 194
_space_group_name_Hall '-P 6c 2c'
loop_
_atom_site_label
_atom_site_type_symbol
_atom_site_fract_x
_atom_site_fract_y
_atom_site_fract_z
Al1 Al 0.0000 0.0000 0.0000
Co1 Co 0.3333 0.6667 0.2500
# DFT total energy = -5.694 eV per atom
# crystal system = hexagonal
# mass density = 5.8 Mg/m³
# energy of formation = -0.270 eV per atom

=====

Entry 7:
# PBE-GGA AlCo5, relaxed
data_AlCo5
_cell_length_a 6.5805
_cell_length_b 6.5805
_cell_length_c 6.5805
_cell_angle_alpha 90.00
_cell_angle_beta 90.00
_cell_angle_gamma 90.00
_space_group_name_H-M_alt 'F -4 3 m'
_space_group_IT_number 216
_space_group_name_Hall 'F -4 2 3'
loop_
_atom_site_label
_atom_site_type_symbol
_atom_site_fract_x
_atom_site_fract_y
_atom_site_fract_z
Al1 Al 0.0000 0.0000 0.0000
Co1 Co 0.1252 0.1252 0.6252
Co2 Co 0.2500 0.2500 0.2500
# offset from the most stable computed form = 148 meV per atom
# DFT total energy = -6.527 eV per atom
# crystal system = cubic
# mass density = 7.5 Mg/m³
# energy of formation = 0.019 eV per atom

=====

Entry 8:
# PBE-GGA Al2Co, relaxed
data_Al2Co
_cell_length_a 4.1714
_cell_length_b 4.1714
_cell_length_c 5.2064
_cell_angle_alpha 90.00
_cell_angle_beta 90.00
_cell_angle_gamma 120.00
_space_group_name_H-M_alt 'P 63/m m c'
_space_group_IT_number 194
_space_group_name_Hall '-P 6c 2c'
loop_
_atom_site_label
_atom_site_type_symbol
_atom_site_fract_x
_atom_site_fract_y
_atom_site_fract_z
Al1 Al 0.0000 0.0000 0.0000
Al2 Al 0.3333 0.6667 0.2500
Co1 Co 0.3333 0.6667 0.7500
# DFT total energy = -5.143 eV per atom
# crystal system = hexagonal
# mass density = 4.8 Mg/m³
# energy of formation = -0.280 eV per atom